No. 1
# PBE MnCd4Pd7, relaxed
# * energy relative to the elements: -0.11 eV/atom
data_MnCd4Pd7
_chemical_formula_sum 'Mn2 Cd8 Pd14'
_symmetry_space_group_name_H-M 'C 1 2/m 1'
_symmetry_Int_Tables_number 12
_symmetry_space_group_name_Hall '-C 2y'
_cell_length_a 9.921
_cell_length_b 4.853
_cell_length_c 9.956
_cell_angle_alpha 90.00
_cell_angle_beta 114.17
_cell_angle_gamma 90.00
loop_
_atom_site_label
_atom_site_type_symbol
_atom_site_fract_x
_atom_site_fract_y
_atom_site_fract_z
_atom_site_occupancy
Mn1 Mn 0.000 0.000 0.000 1
Cd1 Cd 0.108 0.500 0.778 1
Cd2 Cd 0.162 0.000 0.627 1
Pd1 Pd 0.000 0.500 0.000 1
Pd2 Pd 0.088 0.000 0.293 1
Pd3 Pd 0.132 0.500 0.485 1
Pd4 Pd 0.209 0.000 0.919 1

---

No. 2
# PBE KErTm4S8, relaxed
# * raw formation energy: -1926 meV/atom
data_KErTm4S8
_chemical_formula_sum 'K3 Er3 Tm12 S24'
_symmetry_space_group_name_H-M 'R 3 m'
_symmetry_Int_Tables_number 160
_symmetry_space_group_name_Hall 'R 3 -2"'
_cell_length_a 8.1125
_cell_length_b 8.1125
_cell_length_c 19.9340
_cell_angle_alpha 90.00
_cell_angle_beta 90.00
_cell_angle_gamma 120.00
loop_
_atom_site_label
_atom_site_type_symbol
_atom_site_fract_x
_atom_site_fract_y
_atom_site_fract_z
_atom_site_occupancy
K1 K 0.0000 0.0000 0.0000 1
Er1 Er 0.0000 0.0000 0.6305 1
Tm1 Tm 0.0000 0.0000 0.2508 1
Tm2 Tm 0.1729 0.3458 0.4575 1
S1 S 0.0000 0.0000 0.3831 1
S2 S 0.0000 0.0000 0.8586 1
S3 S 0.0440 0.5220 0.3818 1
S4 S 0.1763 0.3527 0.2063 1

---

no.,raw total energy (eV per formula unit),N(E_F) (states/eV per atom)
1,-50.477,0.38
2,-83.534,0.00